1.
DFT (PBE-GGA) results for crystalline LiCdW at its relaxed geometry.

## Properties
Total energy   -4.838 eV per atom
Space-group type   I4mm, No. 107
Energy relative to the elements   122 kJ/mol of formula units
Fermi-level density of states   2.07 states/eV/cell
Mass density   9.84 g/cm³

abc: 7.170 7.170 7.170
angles: 158.12 158.12 31.13
Fractional coordinates of all 3 atoms:
Li 0.000 0.000 0.000
Cd 0.667 0.667 0.000
W 0.339 0.339 0.000


2.
DFT (PBE-GGA) results for crystalline LiCdW at its relaxed geometry.

## Properties
Total energy   -4.869 eV per atom
Space-group type   Fmm2, No. 42
Energy relative to the elements   113 kJ/mol of formula units
Fermi-level density of states   1.33 states/eV/cell
Mass density   9.79 g/cm³

abc: 7.678 7.518 2.721
angles: 83.02 76.39 20.60
Fractional coordinates of all 3 atoms:
Li 0.000 0.000 0.000
Cd 0.334 0.334 0.666
W 0.658 0.658 0.342


3.
DFT (PBE-GGA) results for crystalline LiCd2W2 at its relaxed geometry.

## Properties
Total energy   -4.750 eV per atom
Space-group type   I4/mmm, No. 139
Energy relative to the elements   570 kJ/mol of formula units
Fermi-level density of states   3.01 states/eV/cell
Mass density   9.61 g/cm³

abc: 7.092 7.092 7.092
angles: 147.32 147.32 46.89
Fractional coordinates of all 5 atoms:
Li 0.000 0.000 0.000
Cd 0.250 0.750 0.500
Cd 0.750 0.250 0.500
W 0.414 0.414 0.000
W 0.586 0.586 0.000


4.
DFT (PBE-GGA) results for crystalline LiCd2W at its relaxed geometry.

## Properties
Total energy   -3.648 eV per atom
Space-group type   C2/m, No. 12
Energy relative to the elements   203 kJ/mol of formula units
Fermi-level density of states   2.94 states/eV/cell
Mass density   9.34 g/cm³

abc: 4.987 4.987 5.664
angles: 95.62 95.62 31.84
Fractional coordinates of all 4 atoms:
Li 0.000 0.000 0.000
Cd 0.249 0.249 0.751
Cd 0.751 0.751 0.249
W 0.500 0.500 0.500


5.
DFT (PBE-GGA) results for crystalline LiZnCdW2 at its relaxed geometry.

## Properties
Total energy   -4.515 eV per atom
Space-group type   P4/mmm, No. 123
Energy relative to the elements   717 kJ/mol of formula units
Fermi-level density of states   4.59 states/eV/cell
Mass density   11.10 g/cm³

abc: 4.301 4.301 4.466
angles: 90.00 90.00 90.00
Fractional coordinates of all 5 atoms:
Li 0.000 0.000 0.000
Zn 0.500 0.500 0.500
Cd 0.000 0.000 0.500
W 0.000 0.500 0.000
W 0.500 0.000 0.000


6.
DFT (PBE-GGA) results for crystalline LiY4Cd2 at its relaxed geometry.

## Properties
Total energy   -4.298 eV per atom
Space-group type   R-3m, No. 166
Energy relative to the elements   -47 kJ/mol of formula units
Fermi-level density of states   8.24 states/eV/cell
Mass density   4.91 g/cm³

abc: 8.916 8.916 8.916
angles: 34.10 34.10 34.10
Fractional coordinates of all 7 atoms:
Li 0.000 0.000 0.000
Y 0.130 0.130 0.130
Y 0.382 0.382 0.382
Y 0.618 0.618 0.618
Y 0.870 0.870 0.870
Cd 0.256 0.256 0.256
Cd 0.744 0.744 0.744


7.
DFT (PBE-GGA) results for crystalline Li2Y2Cd at its relaxed geometry.

## Properties
Total energy   -3.483 eV per atom
Space-group type   I4/mmm, No. 139
Energy relative to the elements   25 kJ/mol of formula units
Fermi-level density of states   4.99 states/eV/cell
Mass density   3.89 g/cm³

abc: 9.778 9.778 9.778
angles: 158.12 158.12 31.14
Fractional coordinates of all 5 atoms:
Li 0.250 0.750 0.500
Li 0.750 0.250 0.500
Y 0.098 0.098 0.000
Y 0.902 0.902 0.000
Cd 0.500 0.500 0.000


8.
DFT (PBE-GGA) results for crystalline LiY2Cd2 at its relaxed geometry.

## Properties
Total energy   -3.378 eV per atom
Space-group type   P4/mbm, No. 127
Energy relative to the elements   -21 kJ/mol of formula units
Fermi-level density of states   9.36 states/eV/cell
Mass density   4.89 g/cm³

abc: 8.909 8.909 3.508
angles: 90.00 90.00 90.00
Fractional coordinates of all 10 atoms:
Li 0.000 0.000 0.000
Li 0.500 0.500 0.000
Y 0.142 0.358 0.000
Y 0.358 0.858 0.000
Y 0.642 0.142 0.000
Y 0.858 0.642 0.000
Cd 0.155 0.655 0.500
Cd 0.345 0.155 0.500
Cd 0.655 0.845 0.500
Cd 0.845 0.345 0.500


9.
DFT (PBE-GGA) results for crystalline Li2Y3Cd9 at its relaxed geometry.

## Properties
Total energy   -2.501 eV per atom
Space-group type   Immm, No. 71
Energy relative to the elements   -344 kJ/mol of formula units
Fermi-level density of states   8.88 states/eV/cell
Mass density   6.69 g/cm³

abc: 8.623 8.623 8.623
angles: 148.23 102.42 86.26
Fractional coordinates of all 14 atoms:
Li 0.167 0.000 0.167
Li 0.833 0.000 0.833
Y 0.211 0.211 0.000
Y 0.500 0.500 0.000
Y 0.789 0.789 0.000
Cd 0.000 0.500 0.500
Cd 0.081 0.360 0.721
Cd 0.233 0.863 0.369
Cd 0.360 0.640 0.721
Cd 0.494 0.863 0.631
Cd 0.506 0.137 0.369
Cd 0.640 0.360 0.279
Cd 0.767 0.137 0.631
Cd 0.919 0.640 0.279


10.
DFT (PBE-GGA) results for crystalline LiY2Cd2 at its relaxed geometry.

## Properties
Total energy   -3.512 eV per atom
Space-group type   P4/mbm, No. 127
Energy relative to the elements   -86 kJ/mol of formula units
Fermi-level density of states   10.15 states/eV/cell
Mass density   5.07 g/cm³

abc: 8.056 8.056 4.131
angles: 90.00 90.00 90.00
Fractional coordinates of all 10 atoms:
Li 0.000 0.000 0.000
Li 0.500 0.500 0.000
Y 0.160 0.340 0.500
Y 0.340 0.840 0.500
Y 0.660 0.160 0.500
Y 0.840 0.660 0.500
Cd 0.138 0.638 0.000
Cd 0.362 0.138 0.000
Cd 0.638 0.862 0.000
Cd 0.862 0.362 0.000


11.
DFT (PBE-GGA) results for crystalline Li2YCd7 at its relaxed geometry.

## Properties
Total energy   -1.818 eV per atom
Space-group type   P3m1, No. 156
Energy relative to the elements   -143 kJ/mol of formula units
Fermi-level density of states   2.37 states/eV/cell
Mass density   6.63 g/cm³

abc: 4.896 4.896 10.735
angles: 90.00 90.00 120.00
Fractional coordinates of all 10 atoms:
Li 0.000 0.000 0.000
Li 0.333 0.667 0.833
Y 0.667 0.333 0.318
Cd 0.000 0.000 0.227
Cd 0.000 0.000 0.498
Cd 0.000 0.000 0.762
Cd 0.333 0.667 0.119
Cd 0.333 0.667 0.466
Cd 0.667 0.333 0.638
Cd 0.667 0.333 0.947


12.
DFT (PBE-GGA) results for crystalline LiY4Cd at its relaxed geometry.

## Properties
Total energy   -4.414 eV per atom
Space-group type   F-43m, No. 216
Energy relative to the elements   212 kJ/mol of formula units
Fermi-level density of states   6.63 states/eV/cell
Mass density   4.20 g/cm³

abc: 6.430 6.430 6.430
angles: 60.00 60.00 60.00
Fractional coordinates of all 6 atoms:
Li 0.000 0.000 0.000
Y 0.127 0.624 0.624
Y 0.624 0.127 0.624
Y 0.624 0.624 0.127
Y 0.624 0.624 0.624
Cd 0.250 0.250 0.250


13.
DFT (PBE-GGA) results for crystalline LiY2Cd2 at its relaxed geometry.

## Properties
Total energy   -3.231 eV per atom
Space-group type   I4/mmm, No. 139
Energy relative to the elements   50 kJ/mol of formula units
Fermi-level density of states   4.57 states/eV/cell
Mass density   4.58 g/cm³

abc: 7.917 7.917 7.917
angles: 146.77 146.77 47.71
Fractional coordinates of all 5 atoms:
Li 0.000 0.000 0.000
Y 0.250 0.750 0.500
Y 0.750 0.250 0.500
Cd 0.405 0.405 0.000
Cd 0.595 0.595 0.000


14.
DFT (PBE-GGA) results for crystalline Li2Y2Cd at its relaxed geometry.

## Properties
Total energy   -3.552 eV per atom
Space-group type   P4/mbm, No. 127
Energy relative to the elements   -9 kJ/mol of formula units
Fermi-level density of states   12.74 states/eV/cell
Mass density   4.19 g/cm³

abc: 6.975 6.975 4.955
angles: 90.00 90.00 90.00
Fractional coordinates of all 10 atoms:
Li 0.128 0.372 0.000
Li 0.372 0.872 0.000
Li 0.628 0.128 0.000
Li 0.872 0.628 0.000
Y 0.182 0.682 0.500
Y 0.318 0.182 0.500
Y 0.682 0.818 0.500
Y 0.818 0.318 0.500
Cd 0.000 0.000 0.000
Cd 0.500 0.500 0.000


15.
DFT (PBE-GGA) results for crystalline LiY4Cd3 at its relaxed geometry.

## Properties
Total energy   -4.071 eV per atom
Space-group type   I4/mmm, No. 139
Energy relative to the elements   -198 kJ/mol of formula units
Fermi-level density of states   9.04 states/eV/cell
Mass density   5.55 g/cm³

abc: 8.344 8.344 8.344
angles: 142.97 142.97 53.37
Fractional coordinates of all 8 atoms:
Li 0.000 0.000 0.000
Y 0.124 0.624 0.500
Y 0.376 0.876 0.500
Y 0.624 0.124 0.500
Y 0.876 0.376 0.500
Cd 0.248 0.248 0.000
Cd 0.500 0.500 0.000
Cd 0.752 0.752 0.000


16.
DFT (PBE-GGA) results for crystalline Li2YCd6 at its relaxed geometry.

## Properties
Total energy   -1.957 eV per atom
Space-group type   P6/mmm, No. 191
Energy relative to the elements   -177 kJ/mol of formula units
Fermi-level density of states   4.94 states/eV/cell
Mass density   6.27 g/cm³

abc: 8.579 8.579 3.229
angles: 90.00 90.00 120.00
Fractional coordinates of all 9 atoms:
Li 0.333 0.667 0.000
Li 0.667 0.333 0.000
Y 0.000 0.000 0.000
Cd 0.000 0.338 0.500
Cd 0.000 0.662 0.500
Cd 0.338 0.000 0.500
Cd 0.338 0.338 0.500
Cd 0.662 0.000 0.500
Cd 0.662 0.662 0.500


17.
DFT (PBE-GGA) results for crystalline Li2Y2Cd3 at its relaxed geometry.

## Properties
Total energy   -3.021 eV per atom
Space-group type   Cmmm, No. 65
Energy relative to the elements   -159 kJ/mol of formula units
Fermi-level density of states   5.75 states/eV/cell
Mass density   5.46 g/cm³

abc: 12.023 12.023 3.470
angles: 90.00 90.00 161.29
Fractional coordinates of all 7 atoms:
Li 0.215 0.785 0.000
Li 0.785 0.215 0.000
Y 0.081 0.919 0.000
Y 0.919 0.081 0.000
Cd 0.337 0.663 0.500
Cd 0.500 0.500 0.500
Cd 0.663 0.337 0.500


18.
DFT (PBE-GGA) results for crystalline Li4YCd at its relaxed geometry.

## Properties
Total energy   -2.574 eV per atom
Space-group type   F-43m, No. 216
Energy relative to the elements   -40 kJ/mol of formula units
Fermi-level density of states   2.94 states/eV/cell
Mass density   3.20 g/cm³

abc: 5.517 5.517 5.517
angles: 60.00 60.00 60.00
Fractional coordinates of all 6 atoms:
Li 0.377 0.377 0.377
Li 0.377 0.377 0.870
Li 0.377 0.870 0.377
Li 0.870 0.377 0.377
Y 0.000 0.000 0.000
Cd 0.750 0.750 0.750


19.
DFT (PBE-GGA) results for crystalline Li3YCd2 at its relaxed geometry.

## Properties
Total energy   -2.522 eV per atom
Space-group type   C2/m, No. 12
Energy relative to the elements   -106 kJ/mol of formula units
Fermi-level density of states   6.73 states/eV/cell
Mass density   4.38 g/cm³

abc: 7.470 7.470 9.763
angles: 124.02 124.02 35.05
Fractional coordinates of all 12 atoms:
Li 0.059 0.059 0.385
Li 0.269 0.269 0.425
Li 0.436 0.436 0.322
Li 0.564 0.564 0.678
Li 0.731 0.731 0.575
Li 0.941 0.941 0.615
Y 0.138 0.138 0.011
Y 0.862 0.862 0.989
Cd 0.190 0.190 0.730
Cd 0.423 0.423 0.798
Cd 0.577 0.577 0.202
Cd 0.810 0.810 0.270


20.
DFT (PBE-GGA) results for crystalline LiYCd11 at its relaxed geometry.

## Properties
Total energy   -1.553 eV per atom
Space-group type   C2/m, No. 12
Energy relative to the elements   -168 kJ/mol of formula units
Fermi-level density of states   4.97 states/eV/cell
Mass density   7.71 g/cm³

abc: 7.585 7.585 7.576
angles: 98.44 98.44 134.59
Fractional coordinates of all 13 atoms:
Li 0.000 0.000 0.000
Y 0.500 0.500 0.500
Cd 0.000 0.500 0.500
Cd 0.009 0.801 0.283
Cd 0.144 0.486 0.146
Cd 0.199 0.991 0.717
Cd 0.486 0.144 0.146
Cd 0.500 0.000 0.500
Cd 0.500 0.500 0.000
Cd 0.514 0.856 0.854
Cd 0.801 0.009 0.283
Cd 0.856 0.514 0.854
Cd 0.991 0.199 0.717


21.
DFT (PBE-GGA) results for crystalline Li4YCd5 at its relaxed geometry.

## Properties
Total energy   -2.136 eV per atom
Space-group type   P4/mmm, No. 123
Energy relative to the elements   -257 kJ/mol of formula units
Fermi-level density of states   4.17 states/eV/cell
Mass density   5.62 g/cm³

abc: 3.449 3.449 16.868
angles: 90.00 90.00 90.00
Fractional coordinates of all 10 atoms:
Li 0.000 0.000 0.093
Li 0.000 0.000 0.281
Li 0.000 0.000 0.719
Li 0.000 0.000 0.907
Y 0.000 0.000 0.500
Cd 0.500 0.500 0.000
Cd 0.500 0.500 0.186
Cd 0.500 0.500 0.373
Cd 0.500 0.500 0.627
Cd 0.500 0.500 0.814


22.
DFT (PBE-GGA) results for crystalline Li6YCd6 at its relaxed geometry.

## Properties
Total energy   -2.008 eV per atom
Space-group type   Immm, No. 71
Energy relative to the elements   -257 kJ/mol of formula units
Fermi-level density of states   6.43 states/eV/cell
Mass density   5.23 g/cm³

abc: 7.434 7.434 7.434
angles: 138.28 97.88 96.69
Fractional coordinates of all 13 atoms:
Li 0.000 0.000 0.500
Li 0.000 0.500 0.000
Li 0.224 0.224 0.000
Li 0.500 0.000 0.000
Li 0.500 0.500 0.500
Li 0.776 0.776 0.000
Y 0.000 0.500 0.500
Cd 0.194 0.000 0.194
Cd 0.342 0.842 0.500
Cd 0.348 0.500 0.848
Cd 0.652 0.500 0.152
Cd 0.658 0.158 0.500
Cd 0.806 0.000 0.806


23.
DFT (PBE-GGA) results for crystalline LiY6Cd5 at its relaxed geometry.

## Properties
Total energy   -4.062 eV per atom
Space-group type   Cmmm, No. 65
Energy relative to the elements   -335 kJ/mol of formula units
Fermi-level density of states   14.00 states/eV/cell
Mass density   5.81 g/cm³

abc: 8.373 8.373 7.500
angles: 90.00 90.00 143.18
Fractional coordinates of all 12 atoms:
Li 0.000 0.000 0.000
Y 0.167 0.833 0.248
Y 0.167 0.833 0.752
Y 0.500 0.500 0.250
Y 0.500 0.500 0.750
Y 0.833 0.167 0.248
Y 0.833 0.167 0.752
Cd 0.000 0.000 0.500
Cd 0.333 0.667 0.500
Cd 0.338 0.662 0.000
Cd 0.662 0.338 0.000
Cd 0.667 0.333 0.500


24.
DFT (PBE-GGA) results for crystalline LiY2Cd3 at its relaxed geometry.

## Properties
Total energy   -3.229 eV per atom
Space-group type   P-3m1, No. 164
Energy relative to the elements   -172 kJ/mol of formula units
Fermi-level density of states   8.42 states/eV/cell
Mass density   5.94 g/cm³

abc: 5.171 5.171 12.603
angles: 90.00 90.00 120.00
Fractional coordinates of all 12 atoms:
Li 0.333 0.667 0.164
Li 0.667 0.333 0.836
Y 0.000 0.000 0.000
Y 0.000 0.000 0.500
Y 0.333 0.667 0.675
Y 0.667 0.333 0.325
Cd 0.000 0.000 0.245
Cd 0.000 0.000 0.755
Cd 0.333 0.667 0.408
Cd 0.333 0.667 0.924
Cd 0.667 0.333 0.076
Cd 0.667 0.333 0.592